Entry i
A plane-wave DFT calculation with GGA+U was carried out for an optimized crystal structure of Ac2FeO5.

a b c (Å): 11.3913 4.0857 11.5660
angles (deg): 90.00 90.00 90.00
Space group Pnma (No. 62)
Inequivalent atoms, fractional coordinates:
1 Ac 0.0785 0.2500 0.2101 (multiplicity 4)
2 Ac 0.1375 0.2500 0.5652 (multiplicity 4)
3 Fe 0.2061 0.2500 0.8671 (multiplicity 4)
4 O 0.0129 0.7500 0.5984 (multiplicity 4)
5 O 0.0527 0.2500 0.8095 (multiplicity 4)
6 O 0.2062 0.7500 0.2291 (multiplicity 4)
7 O 0.2186 0.2500 0.0279 (multiplicity 4)
8 O 0.2452 0.7500 0.8697 (multiplicity 4)



Entry ii
A plane-wave DFT calculation with GGA+U was carried out for an optimized crystal structure of Ac2FeO5.

a b c (Å): 5.7666 5.7666 7.5245
angles (deg): 90.00 90.00 90.00
Space group I4mm (No. 107)
Inequivalent atoms, fractional coordinates:
1 Ac 0.0000 0.5000 0.0000 (multiplicity 4)
2 Fe 0.0000 0.0000 0.2441 (multiplicity 2)
3 O 0.0000 0.0000 0.4869 (multiplicity 2)
4 O 0.2273 0.2273 0.2027 (multiplicity 8)



entry i is preferred energetically. Next in line: 17.3 kJ/mol of atoms higher.